1.
First-principles (GGA-PBE) data for an optimized crystal structure of NdMnGe2Rh, as listed in the Alexandria database.

abc: 4.1352 4.1352 10.7196
angles: 90.00 90.00 90.00
Fractional positions:
1 Nd 0.0000 0.0000 0.0000
2 Nd 0.5000 0.5000 0.5000
3 Mn 0.0000 0.5000 0.7500
4 Mn 0.5000 0.0000 0.2500
5 Ge 0.0000 0.0000 0.3802
6 Ge 0.0000 0.0000 0.6198
7 Ge 0.5000 0.5000 0.1198
8 Ge 0.5000 0.5000 0.8802
9 Rh 0.0000 0.5000 0.2500
10 Rh 0.5000 0.0000 0.7500

Energy relative to the elements ... -0.68 eV/atom

***

2.
First-principles (GGA-PBE) data for an optimized crystal structure of Nd2MnGe3Rh4, as listed in the Alexandria database.

abc: 4.1920 4.1920 10.4635
angles: 90.00 90.00 90.00
Fractional positions:
1 Nd 0.0000 0.5000 0.2498
2 Nd 0.5000 0.0000 0.7502
3 Mn 0.0000 0.0000 0.5000
4 Ge 0.0000 0.5000 0.8717
5 Ge 0.5000 0.0000 0.1283
6 Ge 0.5000 0.5000 0.5000
7 Rh 0.0000 0.0000 0.0000
8 Rh 0.0000 0.5000 0.6362
9 Rh 0.5000 0.0000 0.3638
10 Rh 0.5000 0.5000 0.0000

Energy relative to the elements ... -0.77 eV/atom

***

3.
First-principles (GGA-PBE) data for an optimized crystal structure of NdMnGe2Ru, as listed in the Alexandria database.

abc: 4.1038 4.1038 10.8276
angles: 90.00 90.00 90.00
Fractional positions:
1 Nd 0.0000 0.0000 0.0000
2 Nd 0.5000 0.5000 0.5000
3 Mn 0.0000 0.5000 0.2500
4 Mn 0.5000 0.0000 0.7500
5 Ge 0.0000 0.0000 0.3777
6 Ge 0.0000 0.0000 0.6223
7 Ge 0.5000 0.5000 0.1223
8 Ge 0.5000 0.5000 0.8777
9 Ru 0.0000 0.5000 0.7500
10 Ru 0.5000 0.0000 0.2500

Energy relative to the elements ... -0.59 eV/atom

***

4.
First-principles (GGA-PBE) data for an optimized crystal structure of NdTiMnGe2, as listed in the Alexandria database.

abc: 4.0709 4.0709 11.4192
angles: 90.00 90.00 90.00
Fractional positions:
1 Nd 0.0000 0.0000 0.0000
2 Nd 0.5000 0.5000 0.5000
3 Ti 0.0000 0.5000 0.7500
4 Ti 0.5000 0.0000 0.2500
5 Mn 0.0000 0.5000 0.2500
6 Mn 0.5000 0.0000 0.7500
7 Ge 0.0000 0.0000 0.3857
8 Ge 0.0000 0.0000 0.6143
9 Ge 0.5000 0.5000 0.1143
10 Ge 0.5000 0.5000 0.8857

Energy relative to the elements ... -0.59 eV/atom

***

5.
First-principles (GGA-PBE) data for an optimized crystal structure of MnNi2Ge, as listed in the Alexandria database.

abc: 3.6552 3.6552 3.6211
angles: 90.00 90.00 90.00
Fractional positions:
1 Mn 0.0000 0.0000 0.0000
2 Ni 0.0000 0.5000 0.5000
3 Ni 0.5000 0.0000 0.5000
4 Ge 0.5000 0.5000 0.0000

Energy relative to the elements ... -0.21 eV/atom

***

6.
First-principles (GGA-PBE) data for an optimized crystal structure of MnNi3Ge, as listed in the Alexandria database.

abc: 6.3575 6.3575 4.5267
angles: 90.00 90.00 134.87
Fractional positions:
1 Mn 0.0689 0.9311 0.7500
2 Mn 0.9311 0.0689 0.2500
3 Ni 0.0958 0.4021 0.7500
4 Ni 0.4021 0.0958 0.2500
5 Ni 0.5000 0.5000 0.0000
6 Ni 0.5000 0.5000 0.5000
7 Ni 0.5979 0.9042 0.7500
8 Ni 0.9042 0.5979 0.2500
9 Ge 0.3221 0.6779 0.2500
10 Ge 0.6779 0.3221 0.7500

Energy relative to the elements ... -0.07 eV/atom

***

7.
First-principles (GGA-PBE) data for an optimized crystal structure of Mn2Ni12Ge5, as listed in the Alexandria database.

abc: 7.1229 7.1229 7.9375
angles: 105.16 105.16 40.83
Fractional positions:
1 Mn 0.2487 0.7513 0.0000
2 Mn 0.7513 0.2487 0.0000
3 Ni 0.0429 0.5629 0.8907
4 Ni 0.0971 0.5883 0.4018
5 Ni 0.1064 0.1064 0.2983
6 Ni 0.4117 0.9029 0.5982
7 Ni 0.4371 0.9571 0.1093
8 Ni 0.4872 0.4872 0.6480
9 Ni 0.5128 0.5128 0.3520
10 Ni 0.5629 0.0429 0.8907
11 Ni 0.5883 0.0971 0.4018
12 Ni 0.8936 0.8936 0.7017
13 Ni 0.9029 0.4117 0.5982
14 Ni 0.9571 0.4371 0.1093
15 Ge 0.0000 0.0000 0.5000
16 Ge 0.3152 0.3152 0.6512
17 Ge 0.3573 0.3573 0.1434
18 Ge 0.6427 0.6427 0.8566
19 Ge 0.6848 0.6848 0.3488

Energy relative to the elements ... -0.06 eV/atom

***

8.
First-principles (GGA-PBE) data for an optimized crystal structure of Mn2Ni3Ge, as listed in the Alexandria database.

abc: 6.6514 6.6514 4.3534
angles: 90.26 90.26 44.97
Fractional positions:
1 Mn 0.0609 0.2920 0.0724
2 Mn 0.2920 0.0609 0.5724
3 Mn 0.7080 0.9391 0.4276
4 Mn 0.9391 0.7080 0.9276
5 Ni 0.1403 0.8598 0.2500
6 Ni 0.2106 0.4589 0.4256
7 Ni 0.4589 0.2106 0.9256
8 Ni 0.5411 0.7894 0.0744
9 Ni 0.7894 0.5411 0.5744
10 Ni 0.8598 0.1403 0.7500
11 Ge 0.3331 0.6669 0.7500
12 Ge 0.6669 0.3331 0.2500

Energy relative to the elements ... -0.01 eV/atom

***

9.
First-principles (GGA-PBE) data for an optimized crystal structure of MnNi2Ge, as listed in the Alexandria database.

abc: 3.0817 3.0817 5.3073
angles: 90.00 90.00 90.00
Fractional positions:
1 Mn 0.0000 0.0000 0.0000
2 Ni 0.5000 0.5000 0.2530
3 Ni 0.5000 0.5000 0.7470
4 Ge 0.0000 0.0000 0.5000

Energy relative to the elements ... -0.13 eV/atom

***

10.
First-principles (GGA-PBE) data for an optimized crystal structure of MnNi3Ge, as listed in the Alexandria database.

abc: 4.3109 4.3109 4.3109
angles: 90.00 90.00 90.00
Fractional positions:
1 Mn 0.0000 0.0000 0.0000
2 Ni 0.0000 0.5000 0.5000
3 Ni 0.5000 0.0000 0.5000
4 Ni 0.5000 0.5000 0.0000
5 Ge 0.5000 0.5000 0.5000

Energy relative to the elements ... 0.57 eV/atom

***

11.
First-principles (GGA-PBE) data for an optimized crystal structure of MnNiGe3, as listed in the Alexandria database.

abc: 4.5367 4.5367 4.5367
angles: 90.00 90.00 90.00
Fractional positions:
1 Mn 0.0000 0.0000 0.0000
2 Ni 0.5000 0.5000 0.5000
3 Ge 0.0000 0.5000 0.5000
4 Ge 0.5000 0.0000 0.5000
5 Ge 0.5000 0.5000 0.0000

Energy relative to the elements ... 0.88 eV/atom

***

12.
First-principles (GGA-PBE) data for an optimized crystal structure of Mn2Ni9Ge, as listed in the Alexandria database.

abc: 3.5754 3.5754 10.6790
angles: 90.00 90.00 90.00
Fractional positions:
1 Mn 0.0000 0.0000 0.1661
2 Mn 0.0000 0.0000 0.8339
3 Ni 0.0000 0.5000 0.0000
4 Ni 0.0000 0.5000 0.3335
5 Ni 0.0000 0.5000 0.6665
6 Ni 0.5000 0.0000 0.0000
7 Ni 0.5000 0.0000 0.3335
8 Ni 0.5000 0.0000 0.6665
9 Ni 0.5000 0.5000 0.1679
10 Ni 0.5000 0.5000 0.5000
11 Ni 0.5000 0.5000 0.8321
12 Ge 0.0000 0.0000 0.5000

Energy relative to the elements ... -0.16 eV/atom

***

13.
First-principles (GGA-PBE) data for an optimized crystal structure of MnNi4Ge2, as listed in the Alexandria database.

abc: 3.4786 3.4786 16.4955
angles: 90.00 90.00 90.00
Fractional positions:
1 Mn 0.0000 0.0000 0.0000
2 Mn 0.5000 0.5000 0.5000
3 Ni 0.0000 0.0000 0.1440
4 Ni 0.0000 0.0000 0.8560
5 Ni 0.0000 0.5000 0.2500
6 Ni 0.0000 0.5000 0.7500
7 Ni 0.5000 0.0000 0.2500
8 Ni 0.5000 0.0000 0.7500
9 Ni 0.5000 0.5000 0.3560
10 Ni 0.5000 0.5000 0.6440
11 Ge 0.0000 0.0000 0.3695
12 Ge 0.0000 0.0000 0.6305
13 Ge 0.5000 0.5000 0.1305
14 Ge 0.5000 0.5000 0.8695

Energy relative to the elements ... 0.09 eV/atom

***

14.
First-principles (GGA-PBE) data for an optimized crystal structure of MnNi9Ge2, as listed in the Alexandria database.

abc: 3.5814 3.5814 10.6681
angles: 90.00 90.00 90.00
Fractional positions:
1 Mn 0.0000 0.0000 0.0000
2 Ni 0.0000 0.5000 0.1662
3 Ni 0.0000 0.5000 0.5000
4 Ni 0.0000 0.5000 0.8338
5 Ni 0.5000 0.0000 0.1662
6 Ni 0.5000 0.0000 0.5000
7 Ni 0.5000 0.0000 0.8338
8 Ni 0.5000 0.5000 0.0000
9 Ni 0.5000 0.5000 0.3339
10 Ni 0.5000 0.5000 0.6661
11 Ge 0.0000 0.0000 0.3317
12 Ge 0.0000 0.0000 0.6683

Energy relative to the elements ... -0.21 eV/atom

***

15.
First-principles (GGA-PBE) data for an optimized crystal structure of MnNi3Ge, as listed in the Alexandria database.

abc: 4.3096 4.3096 4.3096
angles: 90.00 90.00 90.00
Fractional positions:
1 Mn 0.0000 0.0000 0.0000
2 Ni 0.0000 0.0000 0.5000
3 Ni 0.0000 0.5000 0.0000
4 Ni 0.5000 0.0000 0.0000
5 Ge 0.5000 0.5000 0.5000

Energy relative to the elements ... 1.02 eV/atom

***

16.
First-principles (GGA-PBE) data for an optimized crystal structure of MnNi2Ge, as listed in the Alexandria database.

abc: 3.5177 3.5177 16.5999
angles: 90.00 90.00 90.00
Fractional positions:
1 Mn 0.0000 0.0000 0.0000
2 Mn 0.0000 0.5000 0.2500
3 Mn 0.5000 0.0000 0.7500
4 Mn 0.5000 0.5000 0.5000
5 Ni 0.2448 0.2500 0.6250
6 Ni 0.2500 0.7448 0.8750
7 Ni 0.2500 0.7552 0.3750
8 Ni 0.2552 0.2500 0.1250
9 Ni 0.7448 0.7500 0.1250
10 Ni 0.7500 0.2448 0.3750
11 Ni 0.7500 0.2552 0.8750
12 Ni 0.7552 0.7500 0.6250
13 Ge 0.0000 0.0000 0.5000
14 Ge 0.0000 0.5000 0.7500
15 Ge 0.5000 0.0000 0.2500
16 Ge 0.5000 0.5000 0.0000

Energy relative to the elements ... 0.15 eV/atom

***

17.
First-principles (GGA-PBE) data for an optimized crystal structure of MnNi8Ge2, as listed in the Alexandria database.

abc: 6.6863 6.6863 5.7900
angles: 108.70 108.70 31.60
Fractional positions:
1 Mn 0.0000 0.0000 0.0000
2 Ni 0.0930 0.0930 0.4604
3 Ni 0.1760 0.1760 0.9181
4 Ni 0.3537 0.3537 0.7914
5 Ni 0.4616 0.4616 0.2696
6 Ni 0.5384 0.5384 0.7304
7 Ni 0.6463 0.6463 0.2086
8 Ni 0.8240 0.8240 0.0819
9 Ni 0.9070 0.9070 0.5396
10 Ge 0.2856 0.2856 0.3337
11 Ge 0.7144 0.7144 0.6663

Energy relative to the elements ... -0.17 eV/atom

***

18.
First-principles (GGA-PBE) data for an optimized crystal structure of Mn3Ni12Ge, as listed in the Alexandria database.

abc: 3.5730 3.5730 14.2485
angles: 90.00 90.00 90.00
Fractional positions:
1 Mn 0.0000 0.0000 0.0000
2 Mn 0.0000 0.0000 0.2497
3 Mn 0.0000 0.0000 0.7503
4 Ni 0.0000 0.5000 0.1251
5 Ni 0.0000 0.5000 0.3752
6 Ni 0.0000 0.5000 0.6248
7 Ni 0.0000 0.5000 0.8749
8 Ni 0.5000 0.0000 0.1251
9 Ni 0.5000 0.0000 0.3752
10 Ni 0.5000 0.0000 0.6248
11 Ni 0.5000 0.0000 0.8749
12 Ni 0.5000 0.5000 0.0000
13 Ni 0.5000 0.5000 0.2509
14 Ni 0.5000 0.5000 0.5000
15 Ni 0.5000 0.5000 0.7491
16 Ge 0.0000 0.0000 0.5000

Energy relative to the elements ... -0.15 eV/atom

***

19.
First-principles (GGA-PBE) data for an optimized crystal structure of MnNiGe2, as listed in the Alexandria database.

abc: 4.1389 4.1389 2.9665
angles: 90.00 90.00 90.00
Fractional positions:
1 Mn 0.0000 0.0000 0.0000
2 Ni 0.5000 0.5000 0.0000
3 Ge 0.0000 0.5000 0.5000
4 Ge 0.5000 0.0000 0.5000

Energy relative to the elements ... 0.01 eV/atom

***

20.
First-principles (GGA-PBE) data for an optimized crystal structure of MnNiGe2, as listed in the Alexandria database.

abc: 5.9551 5.9551 5.9551
angles: 90.00 90.00 90.00
Fractional positions:
1 Mn 0.0000 0.0000 0.0000
2 Mn 0.0000 0.5000 0.5000
3 Mn 0.5000 0.0000 0.5000
4 Mn 0.5000 0.5000 0.0000
5 Ni 0.0000 0.0000 0.5000
6 Ni 0.0000 0.5000 0.0000
7 Ni 0.5000 0.0000 0.0000
8 Ni 0.5000 0.5000 0.5000
9 Ge 0.2500 0.2500 0.2500
10 Ge 0.2500 0.2500 0.7500
11 Ge 0.2500 0.7500 0.2500
12 Ge 0.2500 0.7500 0.7500
13 Ge 0.7500 0.2500 0.2500
14 Ge 0.7500 0.2500 0.7500
15 Ge 0.7500 0.7500 0.2500
16 Ge 0.7500 0.7500 0.7500

Energy relative to the elements ... 0.04 eV/atom

***

21.
First-principles (GGA-PBE) data for an optimized crystal structure of Mn5Ni8Ge, as listed in the Alexandria database.

abc: 6.1599 6.1599 6.1599
angles: 108.26 108.26 111.92
Fractional positions:
1 Mn 0.0000 0.0000 0.0000
2 Mn 0.1967 0.4968 0.9109
3 Mn 0.5032 0.4141 0.6998
4 Mn 0.5859 0.2858 0.0891
5 Mn 0.7142 0.8033 0.3002
6 Ni 0.1363 0.0566 0.6852
7 Ni 0.3713 0.4510 0.3148
8 Ni 0.4207 0.0166 0.2828
9 Ni 0.5490 0.8637 0.9203
10 Ni 0.7338 0.1379 0.7172
11 Ni 0.8621 0.5793 0.5959
12 Ni 0.9434 0.6287 0.0797
13 Ni 0.9834 0.2662 0.4041
14 Ge 0.2500 0.7500 0.5000

Energy relative to the elements ... 0.15 eV/atom

***

22.
First-principles (GGA-PBE) data for an optimized crystal structure of MnNi4Ge2, as listed in the Alexandria database.

abc: 6.8864 6.8864 3.8492
angles: 90.00 90.00 90.00
Fractional positions:
1 Mn 0.0000 0.0000 0.0000
2 Mn 0.5000 0.5000 0.5000
3 Ni 0.1000 0.3545 0.5000
4 Ni 0.1455 0.6000 0.0000
5 Ni 0.3545 0.1000 0.5000
6 Ni 0.4000 0.8545 0.0000
7 Ni 0.6000 0.1455 0.0000
8 Ni 0.6455 0.9000 0.5000
9 Ni 0.8545 0.4000 0.0000
10 Ni 0.9000 0.6455 0.5000
11 Ge 0.2152 0.7848 0.5000
12 Ge 0.2848 0.2848 0.0000
13 Ge 0.7152 0.7152 0.0000
14 Ge 0.7848 0.2152 0.5000

Energy relative to the elements ... -0.16 eV/atom

***

23.
First-principles (GGA-PBE) data for an optimized crystal structure of MnNi3Ge, as listed in the Alexandria database.

abc: 3.7384 4.8976 7.9436
angles: 90.00 90.00 90.00
Fractional positions:
1 Mn 0.0000 0.0000 0.0000
2 Mn 0.0000 0.5000 0.5000
3 Ni 0.0000 0.0000 0.3491
4 Ni 0.0000 0.5000 0.8491
5 Ni 0.5000 0.2413 0.7720
6 Ni 0.5000 0.2587 0.2720
7 Ni 0.5000 0.7413 0.2720
8 Ni 0.5000 0.7587 0.7720
9 Ge 0.5000 0.0000 0.5283
10 Ge 0.5000 0.5000 0.0283

Energy relative to the elements ... 0.15 eV/atom

***

24.
First-principles (GGA-PBE) data for an optimized crystal structure of MnNi7Ge4, as listed in the Alexandria database.

abc: 4.5808 5.1155 6.9184
angles: 109.60 101.29 91.06
Fractional positions:
1 Mn 0.0000 0.0000 0.0000
2 Ni 0.0000 0.5000 0.0000
3 Ni 0.1744 0.8769 0.6240
4 Ni 0.2851 0.4111 0.3333
5 Ni 0.4776 0.2396 0.9798
6 Ni 0.5224 0.7604 0.0202
7 Ni 0.7149 0.5889 0.6667
8 Ni 0.8256 0.1231 0.3760
9 Ge 0.2215 0.4423 0.6984
10 Ge 0.2953 0.9128 0.3116
11 Ge 0.7047 0.0872 0.6884
12 Ge 0.7785 0.5577 0.3016

Energy relative to the elements ... -0.19 eV/atom